This record from the Alexandria database describes a relaxed Ba3Na2Hg crystal. The functional is PBE-GGA.

The structure in CIF format:
```
data_Ba3Na2Hg
_chemical_formula_sum 'Ba12 Na8 Hg4'
_cell_length_a 6.104
_cell_length_b 18.417
_cell_length_c 9.615
_cell_angle_alpha 90.00
_cell_angle_beta 90.00
_cell_angle_gamma 90.00
_symmetry_space_group_name_H-M 'C m m m'
_symmetry_Int_Tables_number 65
_symmetry_space_group_name_Hall '-C 2 2'
loop_
_atom_site_label
_atom_site_fract_x
_atom_site_fract_y
_atom_site_fract_z
_atom_site_occupancy
Ba1 0.000 0.000 0.224 1
Ba2 0.000 0.325 0.210 1
Na1 0.000 0.167 0.500 1
Na2 0.000 0.500 0.000 1
Na3 0.000 0.500 0.500 1
Hg1 0.000 0.158 0.000 1
```

formation energy	-181	meV per atom
magnetic moment	0.00	μB/cell
E_tot	-39.17	eV per cell
D(E_F)	0.933	states/eV per atom
theoretical density	4.05	g cm⁻³